1.
The following is a PBE calculation of crystalline KFeP2 at its relaxed geometry, from Alexandria via LeMat-Bulk.

Cell: 3.265 3.626 6.610 Å, 90.00 90.00 90.00°
Fractional positions:
K 0.000 0.000 0.000
Fe 0.500 0.000 0.522
P 0.000 0.500 0.573
P 0.500 0.500 0.322

Output
space group: Pmm2, No. 25


2.
The following is a PBE calculation of crystalline Dy2Sc2Ir3 at its relaxed geometry, from Alexandria via LeMat-Bulk.

Cell: 8.302 8.302 8.302 Å, 32.27 32.27 32.27°
Fractional positions:
Dy 0.124 0.124 0.124
Dy 0.876 0.876 0.876
Sc 0.373 0.373 0.373
Sc 0.627 0.627 0.627
Ir 0.000 0.000 0.000
Ir 0.255 0.255 0.255
Ir 0.745 0.745 0.745

Output
space group: R-3m, No. 166


3.
The following is a PBE calculation of crystalline Li2MgRe at its relaxed geometry, from Alexandria via LeMat-Bulk.

Cell: 4.513 4.513 4.513 Å, 60.00 60.00 60.00°
Fractional positions:
Li 0.000 0.000 0.000
Li 0.250 0.250 0.250
Mg 0.500 0.500 0.500
Re 0.750 0.750 0.750

Output
space group: F-43m, No. 216


no.,energy of formation from the pure elements (eV per atom),M_tot (μB/f.u.),calculated total energy (eV per cell)
1,-0.060,1.6,-20.620
2,-0.875,0.0,-54.573
3,0.689,1.9,-15.115